(1)
Crystalline K2CoCuO4 at its relaxed geometry. Source: Alexandria, functional GGA+U.

Calculated values
Raw total energy in eV per cell: -77.419
Crystal system: orthorhombic
N(E_F) in states/eV per cell: 4.58
Symmetry: Fddd

Cell lengths 11.292, 9.940, 6.403 Å; angles 84.46, 61.18, 34.36 degrees
Atoms (fractional coordinates):
K  0.052  0.052  0.698
K  0.302  0.302  0.948
K  0.698  0.698  0.052
K  0.948  0.948  0.302
Co  0.375  0.375  0.375
Co  0.625  0.625  0.625
Cu  0.125  0.125  0.125
Cu  0.875  0.875  0.875
O  0.001  0.340  0.440
O  0.281  0.560  0.660
O  0.340  0.001  0.719
O  0.440  0.719  0.001
O  0.560  0.281  0.999
O  0.660  0.999  0.281
O  0.719  0.440  0.340
O  0.999  0.660  0.560

***

(2)
Crystalline PaNi2TeO8 at its relaxed geometry. Source: Alexandria, functional GGA+U.

Calculated values
Raw total energy in eV per cell: -76.961
Crystal system: orthorhombic
N(E_F) in states/eV per cell: 7.33
Symmetry: Cmmm

Cell lengths 4.658, 4.658, 6.712 Å; angles 90.00, 90.00, 91.08 degrees
Atoms (fractional coordinates):
Pa  0.000  0.000  0.000
Ni  0.500  0.500  0.266
Ni  0.500  0.500  0.734
Te  0.000  0.000  0.500
O  0.193  0.807  0.278
O  0.193  0.807  0.722
O  0.295  0.295  0.500
O  0.312  0.312  0.000
O  0.688  0.688  0.000
O  0.705  0.705  0.500
O  0.807  0.193  0.278
O  0.807  0.193  0.722

***

Question: What is the formula in the second record?
Answer: PaNi2TeO8